1.
VASP calculation (PBE-GGA) on VReSi after structural relaxation.

```
VReSi
1.0
2.693 0.000 0.000
0.000 4.236 0.000
0.000 -2.118 3.669
Re Si V
1 1 1
Cartesian
0.688 0.000 2.446
0.336 0.000 0.000
1.669 2.118 1.223
```

Properties
The raw formation energy is -0.194 eV per atom. Its space group is P3m1. As for the size of the total moment: 0.00 Bohr magnetons per cell.



2.
VASP calculation (PBE-GGA) on VReSi2 after structural relaxation.

```
VReSi2
1.0
-0.757 -2.374 3.416
-3.471 0.677 2.318
-3.152 -2.818 -0.040
Re Si V
1 2 1
Cartesian
-3.690 -2.258 2.847
-1.845 -1.129 1.424
-5.535 -3.386 4.271
0.000 0.000 0.000
```

Properties
The raw formation energy is -0.190 eV per atom. Its space group is Fm-3m. As for the size of the total moment: 1.88 Bohr magnetons per cell.



3.
VASP calculation (PBE-GGA) on V4ReSi2 after structural relaxation.

```
V4ReSi2
1.0
-2.228 -3.437 -1.818
3.543 -2.657 0.681
-1.652 -4.632 5.261
Re Si V
1 2 4
Cartesian
0.000 0.000 0.000
0.090 -3.436 0.864
-0.427 -7.290 3.261
-0.795 -4.044 3.097
0.457 -6.683 1.028
1.772 -1.329 0.341
-1.114 -1.718 -0.909
```

Properties
The raw formation energy is 0.911 eV per atom. Its space group is I4/mmm. As for the size of the total moment: 2.67 Bohr magnetons per cell.



4.
VASP calculation (PBE-GGA) on VRe2Si after structural relaxation.

```
VRe2Si
1.0
3.063 0.000 0.000
0.000 4.225 0.000
0.000 0.000 4.225
Re Si V
2 1 1
Cartesian
0.000 0.000 2.112
0.000 2.112 0.000
1.531 0.000 0.000
1.531 2.112 2.112
```

Properties
The raw formation energy is -0.263 eV per atom. Its space group is P4/mmm. As for the size of the total moment: 0.00 Bohr magnetons per cell.



5.
VASP calculation (PBE-GGA) on VReSi2 after structural relaxation.

```
VReSi2
1.0
3.649 0.000 0.000
0.000 3.649 0.000
1.824 1.824 8.791
Re Si V
2 4 2
Cartesian
0.000 0.000 0.000
3.649 1.824 4.395
2.703 0.912 2.198
0.946 2.737 2.198
2.737 2.771 6.593
4.561 4.527 6.593
1.824 1.824 0.000
1.824 3.649 4.395
```

Properties
The raw formation energy is 0.162 eV per atom. Its space group is I-42d. As for the size of the total moment: 0.00 Bohr magnetons per cell.



6.
VASP calculation (PBE-GGA) on VRe2Si4 after structural relaxation.

```
VRe2Si4
1.0
4.403 0.000 0.000
0.000 4.403 0.000
2.202 2.202 6.101
Re Si V
2 4 1
Cartesian
2.202 2.202 1.309
4.403 4.403 4.791
2.202 2.202 3.689
4.403 4.403 2.412
0.000 2.202 0.000
2.202 0.000 0.000
0.000 0.000 0.000
```

Properties
The raw formation energy is 0.713 eV per atom. Its space group is I4/mmm. As for the size of the total moment: 1.52 Bohr magnetons per cell.



7.
VASP calculation (PBE-GGA) on V2ReSi2 after structural relaxation.

```
V2ReSi2
1.0
-1.156 -0.644 6.259
6.131 -1.547 0.973
0.719 3.135 0.456
Re Si V
2 4 4
Cartesian
0.000 0.000 0.000
2.487 -1.096 3.616
4.901 -1.582 3.155
2.864 -1.536 6.053
0.074 -0.609 4.077
2.111 -0.655 1.179
4.254 0.429 1.920
4.697 -0.151 5.212
1.439 0.515 5.768
0.996 1.095 2.476
```

Properties
The raw formation energy is -0.419 eV per atom. Its space group is P4/mbm. As for the size of the total moment: 0.00 Bohr magnetons per cell.



8.
VASP calculation (PBE-GGA) on V3ReSi after structural relaxation.

```
V3ReSi
1.0
4.560 0.000 0.000
0.000 4.560 0.000
0.000 0.000 4.560
Re Si V
1 1 3
Cartesian
0.000 0.000 0.000
2.280 2.280 2.280
0.000 2.280 0.000
0.000 0.000 2.280
2.280 0.000 0.000
```

Properties
The raw formation energy is 1.260 eV per atom. Its space group is Pm-3m. The relative energy among the computed polymorphs is 330 meV/atom. As for the size of the total moment: 0.45 Bohr magnetons per cell.



9.
VASP calculation (PBE-GGA) on V2ReSi after structural relaxation.

```
V2ReSi
1.0
3.158 0.000 0.000
0.000 3.158 0.000
0.000 0.000 5.417
Re Si V
1 1 2
Cartesian
1.579 1.579 2.709
1.579 1.579 0.000
0.000 0.000 4.151
0.000 0.000 1.266
```

Properties
The raw formation energy is -0.323 eV per atom. Its space group is P4/mmm. As for the size of the total moment: 0.00 Bohr magnetons per cell.



10.
VASP calculation (PBE-GGA) on VRe2Si after structural relaxation.

```
VRe2Si
1.0
2.795 0.000 0.000
1.397 2.420 0.000
1.397 0.807 8.751
Re Si V
2 1 1
Cartesian
1.397 0.807 6.345
4.192 2.420 2.407
2.795 1.613 4.376
0.000 0.000 0.000
```

Properties
The raw formation energy is 0.431 eV per atom. Its space group is R-3m. As for the size of the total moment: 0.00 Bohr magnetons per cell.



11.
VASP calculation (PBE-GGA) on VReSi4 after structural relaxation.

```
VReSi4
1.0
4.635 -0.004 0.000
-0.002 5.071 0.000
0.000 0.000 7.278
V Re Si
2 2 8
Cartesian
-0.001 2.535 0.000
2.317 2.533 3.639
2.318 -0.002 3.639
0.000 0.000 0.000
3.475 1.330 1.819
1.158 1.332 1.820
2.317 1.261 6.252
-0.001 3.808 2.613
4.635 1.259 4.665
2.316 3.806 1.026
3.475 3.735 5.458
1.158 3.737 5.459
```

Properties
The raw formation energy is 0.197 eV per atom. Its space group is P2_1/c. As for the size of the total moment: 0.00 Bohr magnetons per cell.



12.
VASP calculation (PBE-GGA) on V2ReSi after structural relaxation.

```
V2ReSi
1.0
-2.816 5.432 2.883
1.540 -2.448 6.115
1.627 2.710 4.416
Re Si V
2 2 4
Cartesian
0.000 0.000 0.000
-0.913 4.817 5.899
-0.638 1.492 4.499
1.264 0.877 7.515
-1.148 3.743 3.658
1.005 -0.150 5.299
0.748 3.141 6.713
0.097 4.655 11.159
```

Properties
The raw formation energy is 0.422 eV per atom. Its space group is I-42d. As for the size of the total moment: 0.00 Bohr magnetons per cell.



| no. | E_tot (eV per cell) |
| --- | --- |
| 1 | -27.6 |
| 2 | -33.2 |
| 3 | -53.4 |
| 4 | -40.5 |
| 5 | -63.5 |
| 6 | -50.7 |
| 7 | -87.3 |
| 8 | -38.9 |
| 9 | -37.4 |
| 10 | -37.7 |
| 11 | -84.1 |
| 12 | -68.8 |